## 1
Entry from Alexandria via LeMat-Bulk: BaTa2Rh at its PBEsol-relaxed geometry (meta-GGA SCAN). Values from VASP.

The structure in Quantum ESPRESSO input format:
```
&SYSTEM
  ibrav = 0, nat = 4, ntyp = 3
/
ATOMIC_SPECIES
Ba 137.33 Ba.upf
Ta 180.95 Ta.upf
Rh 102.91 Rh.upf
CELL_PARAMETERS angstrom
3.321 0.000 0.000
0.000 3.321 0.000
0.000 0.000 7.968
ATOMIC_POSITIONS crystal
Ba 0.000 0.000 0.000
Ta 0.500 0.500 0.335
Ta 0.500 0.500 0.665
Rh 0.000 0.000 0.500
```

Properties
Calculated volume in A^3/atom: 21.97

=====

## 2
Entry from Alexandria via LeMat-Bulk: BaTa2Rh at its PBEsol-relaxed geometry (meta-GGA SCAN). Values from VASP.

The structure in Quantum ESPRESSO input format:
```
&SYSTEM
  ibrav = 0, nat = 12, ntyp = 3
/
ATOMIC_SPECIES
Ba 137.33 Ba.upf
Ta 180.95 Ta.upf
Rh 102.91 Rh.upf
CELL_PARAMETERS angstrom
3.024 0.000 0.000
-1.512 2.619 0.000
0.000 0.000 31.336
ATOMIC_POSITIONS crystal
Ba 0.000 0.000 0.000
Ba 0.333 0.667 0.667
Ba 0.667 0.333 0.333
Ta 0.000 0.000 0.233
Ta 0.000 0.000 0.767
Ta 0.333 0.667 0.433
Ta 0.333 0.667 0.900
Ta 0.667 0.333 0.100
Ta 0.667 0.333 0.567
Rh 0.000 0.000 0.500
Rh 0.333 0.667 0.167
Rh 0.667 0.333 0.833
```

Properties
Calculated volume in A^3/atom: 20.68

=====

## 3
Entry from Alexandria via LeMat-Bulk: BaTa2Rh at its PBEsol-relaxed geometry (meta-GGA SCAN). Values from VASP.

The structure in Quantum ESPRESSO input format:
```
&SYSTEM
  ibrav = 0, nat = 4, ntyp = 3
/
ATOMIC_SPECIES
Ba 137.33 Ba.upf
Ta 180.95 Ta.upf
Rh 102.91 Rh.upf
CELL_PARAMETERS angstrom
3.148 0.000 0.000
0.000 3.148 0.000
0.000 0.000 8.779
ATOMIC_POSITIONS crystal
Ba 0.000 0.000 0.000
Ta 0.000 0.000 0.448
Ta 0.500 0.500 0.660
Rh 0.500 0.500 0.294
```

Properties
Calculated volume in A^3/atom: 21.74

=====

Stability summary: most stable 3, least stable 2.